[1]
## CdSnRh (PBE)

Data for a geometry-optimized CdSnRh structure.

Values from the calculation:
calculated density: 8542 kg/m3
final energy: -4.3361 eV per atom
total magnetization: 0.00 μB per formula unit

Unit cell a=3.0558 b=4.4341 c=4.7920 alpha=90.00 beta=90.00 gamma=90.00
Closest atoms and distances in Å follow each position.
Atoms (fractional coordinates):
Cd: 0.0000 0.0000 0.0000  4 Rh 2.84, 2 Cd 3.06
Sn: 0.0000 0.5000 0.5000  4 Rh 2.69
Rh: 0.5000 0.0000 0.5000  4 Sn 2.69, 4 Cd 2.84



[2]
## Cd2Sn2Rh3 (PBE)

Data for a geometry-optimized Cd2Sn2Rh3 structure.

Values from the calculation:
calculated density: 9772 kg/m3
final energy: -4.9157 eV per atom
total magnetization: 0.00 μB per formula unit

Unit cell a=4.5148 b=4.5148 c=7.8598 alpha=106.56 beta=106.56 gamma=59.99
Closest atoms and distances in Å follow each position.
Atoms (fractional coordinates):
Cd: 0.1330 0.1330 0.4010  5 Rh 2.85-2.98, 3 Cd 2.98-3.00, 3 Sn 3.18-3.19
Cd: 0.8670 0.8670 0.5990  5 Rh 2.85-2.98, 3 Cd 2.98-3.00, 3 Sn 3.18-3.19
Sn: 0.3841 0.3841 0.1538  7 Rh 2.64-2.85
Sn: 0.6159 0.6159 0.8462  7 Rh 2.64-2.85
Rh: 0.0000 0.0000 0.0000  6 Sn 2.85, 2 Cd 2.98, 6 Rh 3.05-3.06
Rh: 0.2613 0.2613 0.7852  4 Sn 2.64-2.74, 4 Cd 2.85-2.95
Rh: 0.7387 0.7387 0.2148  4 Sn 2.64-2.74, 4 Cd 2.85-2.95